{
  "formula": "YIrCl2",
  "functional": "PBE",
  "state": "relaxed",
  "lattice": [[4.744, 0.000, 0.000], [2.372, 4.109, 0.000], [2.372, 1.370, 3.874]],
  "species": ["Y", "Cl", "Cl", "Ir"],
  "fractional_positions": [[0.500, 0.500, 0.500], [0.750, 0.750, 0.750], [0.250, 0.250, 0.250], [0.000, 0.000, 0.000]],
  "volume_a3_per_atom": 18.88,
  "dos_at_fermi_per_ev_atom": 1.249,
  "e_tot_ry_per_atom": -0.3684,
  "e_form_raw_ev_per_atom": -0.26
}